1.
KIr2 after structural relaxation. Source: Alexandria via LeMat-Bulk, functional PBE.

Cell lengths 2.741, 4.104, 11.910 Å; angles 90.00, 90.00, 90.00 degrees
Space group Immm (No. 71)
Unique sites:
1 K 0.000 0.000 0.000
2 Ir 0.000 0.000 0.279

Computed properties:
magnetic moment	0.0	μB/cell
Fermi-level density of states	5.49	states/eV per cell
raw total energy	-5.94	eV/atom
formation energy from the elements	0.332	eV per atom

---

2.
KIr5 after structural relaxation. Source: Alexandria via LeMat-Bulk, functional PBE.

Cell lengths 5.4100, 5.4100, 4.2795 Å; angles 90.00, 90.00, 120.00 degrees
Space group P6/mmm (No. 191)
Unique sites:
1 K 0.0000 0.0000 0.0000
2 Ir 0.0000 0.5000 0.5000
3 Ir 0.3333 0.6667 0.0000

Computed properties:
magnetic moment	0.0	μB/cell
Fermi-level density of states	11.35	states/eV per cell
raw total energy	-7.07	eV/atom
offset from the most stable computed form	155.5	meV per atom
formation energy from the elements	0.494	eV per atom

---

3.
K3Ir2 after structural relaxation. Source: Alexandria via LeMat-Bulk, functional PBE.

Cell lengths 4.8704, 4.8704, 9.9308 Å; angles 90.00, 90.00, 120.00 degrees
Space group P-3m1 (No. 164)
Unique sites:
1 K 0.0000 0.0000 0.0000
2 K 0.3333 0.6667 0.2945
3 Ir 0.3333 0.6667 0.9866

Computed properties:
magnetic moment	1.3	μB/cell
Fermi-level density of states	4.01	states/eV per cell
raw total energy	-3.27	eV/atom
offset from the most stable computed form	101.0	meV per atom
formation energy from the elements	0.931	eV per atom

---

4.
K2Ir after structural relaxation. Source: Alexandria via LeMat-Bulk, functional PBE.

Cell lengths 5.5745, 5.5745, 7.0943 Å; angles 90.00, 90.00, 120.00 degrees
Space group P6_3/mmc (No. 194)
Unique sites:
1 K 0.0000 0.0000 0.0000
2 K 0.3333 0.6667 0.2500
3 Ir 0.3333 0.6667 0.7500

Computed properties:
magnetic moment	2.0	μB/cell
Fermi-level density of states	13.78	states/eV per cell
raw total energy	-2.70	eV/atom
formation energy from the elements	0.990	eV per atom